Below is an optimized crystal structure of NiC3F, with properties calculated at the PBE with a Hubbard U level.

a b c (Å): 3.734 3.734 3.734
angles (deg): 90.00 90.00 90.00
Positions (direct):
Ni (0.000, 0.000, 0.000)
C (0.000, 0.000, 0.500)
C (0.000, 0.500, 0.000)
C (0.500, 0.000, 0.000)
F (0.500, 0.500, 0.500)

E_tot: -0.2796 Ry per atom
calculated density: 3.63 g/cm3
total magnetization: 2.909 μB/f.u.
polymorph energy (0 for the lowest one): 0.0 kJ per mole of atoms